KY | PBE | optimized geometry

a b c (Å): 14.143 3.718 14.393
angles (deg): 90.00 90.00 90.00
Each line ends with the local moment (μB).
Positions (direct):
K 0.111 0.750 0.295  0.00
K 0.156 0.250 0.571  0.00
K 0.656 0.250 0.929  0.00
K 0.889 0.250 0.705  0.00
K 0.344 0.750 0.071  0.00
K 0.844 0.750 0.429  0.00
K 0.611 0.750 0.205  0.00
K 0.389 0.250 0.795  0.00
Y 0.873 0.250 0.155  0.09
Y 0.127 0.750 0.845  0.09
Y 0.412 0.750 0.542  0.09
Y 0.373 0.250 0.345  0.09
Y 0.088 0.250 0.042  0.09
Y 0.627 0.750 0.655  0.09
Y 0.588 0.250 0.458  0.09
Y 0.912 0.750 0.958  0.09

Summary:
The value obtained for the formation enthalpy at 0 K is 379 meV per atom.

***

Rb2NaTeO | PBE | optimized geometry

a b c (Å): 5.865 5.865 4.585
angles (deg): 90.00 90.00 90.00
Each line ends with the local moment (μB).
Positions (direct):
Na 0.000 0.000 0.500  0.00
Rb 0.000 0.500 0.000  0.01
Rb 0.500 0.000 0.000  0.01
Te 0.500 0.500 0.500  0.18
O 0.000 0.000 0.000  0.38

Summary:
For the energy above the most stable polymorph in this dataset, the calculation gives 0 meV/atom. The formation energy without anion corrections is -876.2 meV per atom.

***

SrZrAu | PBE | optimized geometry

a b c (Å): 6.935 6.936 3.608
angles (deg): 74.92 74.92 30.16
Each line ends with the local moment (μB).
Positions (direct):
Sr 0.344 0.344 0.656  0.01
Zr 0.626 0.626 0.374  0.25
Au 0.030 0.030 0.970  0.02

Summary:
The value obtained for the formation enthalpy at 0 K is -191 meV per atom. For the energy above the most stable polymorph in this dataset, the calculation gives 0 meV/atom.

***

As4Au | PBE | optimized geometry

a b c (Å): 5.347 5.347 5.347
angles (deg): 109.47 109.47 109.47
Positions (direct):
As 0.500 0.000 0.000
As 0.500 0.500 0.500
As 0.000 0.000 0.500
As 0.000 0.500 0.000
Au 0.000 0.000 0.000

Summary:
The value obtained for the formation enthalpy at 0 K is 513 meV per atom. For the energy above the most stable polymorph in this dataset, the calculation gives 502 meV/atom.

***

Number 1: E -3.401 eV per atom, DOS(E_F) 1.44 states/eV per atom. Number 2: E -3.147 eV per atom, DOS(E_F) 1.15 states/eV per atom. Number 3: E -4.694 eV per atom, DOS(E_F) 0.73 states/eV per atom. Number 4: E -3.862 eV per atom, DOS(E_F) 0.68 states/eV per atom.